Entry 1:
Here is Cs2GeSbAu6 after structural relaxation from Alexandria via LeMat-Bulk. Energies are from PBE-GGA.

Values from the calculation:
- formation energy from raw total energies (eV per atom) = -0.171
- space group = No. 12

extended XYZ file:
```
10
Lattice="5.260 -5.329 0.000 5.260 5.329 0.000 -5.250 0.000 5.326" Properties=species:S:1:pos:R:3 pbc="T T T"
Cs 5.260 2.665 0.000
Cs 5.260 -2.665 0.000
Ge -2.625 0.000 2.663
Sb 2.635 0.000 2.663
Au -0.095 0.000 2.663
Au -2.620 0.000 5.225
Au 2.635 2.766 2.663
Au 2.635 -2.766 2.663
Au 7.890 0.000 0.101
Au 5.365 0.000 2.663
```

Entry 2:
Here is Ag2MoRh after structural relaxation from Alexandria via LeMat-Bulk. Energies are from PBE-GGA.

Values from the calculation:
- formation enthalpy at 0 K (eV per atom) = 0.657
- space group = No. 225
- E above lowest polymorph (eV/atom) = 0.5397

extended XYZ file:
```
4
Lattice="0.000 3.187 3.187 3.187 0.000 3.187 3.187 3.187 0.000" Properties=species:S:1:pos:R:3 pbc="T T T"
Ag 1.594 1.594 1.594
Ag 4.781 4.781 4.781
Mo 0.000 0.000 0.000
Rh 3.187 3.187 3.187
```

Entry 3:
Here is LaSm8Dy3 after structural relaxation from Alexandria via LeMat-Bulk. Energies are from PBE-GGA.

Values from the calculation:
- formation enthalpy at 0 K (eV per atom) = 0.330
- space group = No. 23

extended XYZ file:
```
12
Lattice="-3.268 5.724 5.798 3.268 -5.724 5.798 3.268 5.724 -5.798" Properties=species:S:1:pos:R:3 pbc="T T T"
La 0.000 0.000 0.000
Sm 3.270 3.800 -2.881
Sm 1.571 3.001 -0.006
Sm 1.697 -2.723 5.804
Sm -0.002 1.924 2.917
Sm 3.266 3.800 2.881
Sm 1.697 2.723 5.792
Sm 1.571 8.447 0.006
Sm 0.002 1.924 8.679
Dy 3.268 0.000 3.069
Dy 0.000 0.000 5.798
Dy 0.000 5.724 2.729
```

Entry 4:
Here is La2Sm6DyTm after structural relaxation from Alexandria via LeMat-Bulk. Energies are from PBE-GGA.

Values from the calculation:
- formation enthalpy at 0 K (eV per atom) = 0.116
- space group = No. 15

extended XYZ file:
```
20
Lattice="4.562 -7.595 0.000 4.562 7.595 0.000 -1.747 0.000 9.846" Properties=species:S:1:pos:R:3 pbc="T T T"
La 2.151 0.752 0.405
La 1.278 -0.752 5.328
La 6.099 0.752 4.518
La 5.226 -0.752 9.441
Sm 2.407 4.267 1.867
Sm 2.976 4.692 5.480
Sm 3.528 4.692 9.290
Sm 2.964 1.562 3.734
Sm 5.843 4.267 3.056
Sm 2.090 -1.562 8.658
Sm 5.287 1.562 1.189
Sm 1.534 -4.267 6.790
Sm 4.413 -1.562 6.112
Sm 3.849 -4.692 0.556
Sm 4.401 -4.692 4.367
Sm 4.969 -4.267 7.980
Dy 4.125 7.397 2.462
Dy 3.252 -7.397 7.385
Tm 3.252 1.442 7.385
Tm 4.125 -1.442 2.462
```

Entry 5:
Here is CaMgBr4 after structural relaxation from Alexandria via LeMat-Bulk. Energies are from PBE-GGA.

Values from the calculation:
- formation energy from raw total energies (eV per atom) = -0.200
- space group = No. 216
- E above lowest polymorph (eV/atom) = 1.5476

extended XYZ file:
```
6
Lattice="0.000 4.565 4.565 4.565 0.000 4.565 4.565 4.565 0.000" Properties=species:S:1:pos:R:3 pbc="T T T"
Ca 0.000 0.000 0.000
Mg 6.848 6.848 6.848
Br 3.428 3.428 3.428
Br 5.702 5.702 3.428
Br 5.702 3.428 5.702
Br 3.428 5.702 5.702
```

Entry 6:
Here is P3PbBr after structural relaxation from Alexandria via LeMat-Bulk. Energies are from PBE-GGA.

Values from the calculation:
- formation energy from raw total energies (eV per atom) = 1.174
- space group = No. 221
- E above lowest polymorph (eV/atom) = 0.0000

extended XYZ file:
```
5
Lattice="4.929 0.000 0.000 0.000 4.929 0.000 0.000 0.000 4.929" Properties=species:S:1:pos:R:3 pbc="T T T"
P 0.000 0.000 2.465
P 0.000 2.465 0.000
P 2.465 0.000 0.000
Pb 2.465 2.465 2.465
Br 0.000 0.000 0.000
```

Entry 7:
Here is CaFeHg after structural relaxation from Alexandria via LeMat-Bulk. Energies are from PBE-GGA.

Values from the calculation:
- formation enthalpy at 0 K (eV per atom) = 0.398
- space group = No. 216

extended XYZ file:
```
3
Lattice="0.000 3.326 3.326 3.326 0.000 3.326 3.326 3.326 0.000" Properties=species:S:1:pos:R:3 pbc="T T T"
Ca 0.000 0.000 0.000
Fe 1.663 1.663 1.663
Hg 3.326 3.326 3.326
```

Entry 8:
Here is Ta2CuIr after structural relaxation from Alexandria via LeMat-Bulk. Energies are from PBE-GGA.

Values from the calculation:
- formation enthalpy at 0 K (eV per atom) = -0.179
- space group = No. 8

extended XYZ file:
```
4
Lattice="4.593 -1.450 0.000 4.593 1.450 0.000 -1.001 0.000 4.773" Properties=species:S:1:pos:R:3 pbc="T T T"
Ta 0.000 0.000 0.000
Ta 1.541 0.000 3.337
Cu 4.044 0.000 2.345
Ir 6.680 0.000 1.052
```

Entry 9:
Here is In2Hg5Pb after structural relaxation from Alexandria via LeMat-Bulk. Energies are from PBE-GGA.

Values from the calculation:
- formation enthalpy at 0 K (eV per atom) = 0.020
- space group = No. 8

extended XYZ file:
```
8
Lattice="5.265 -3.587 0.000 5.265 3.587 0.000 -4.090 0.000 5.781" Properties=species:S:1:pos:R:3 pbc="T T T"
In 0.000 0.000 0.000
In 3.225 0.000 2.888
Hg 0.590 1.791 2.892
Hg 0.590 -1.791 2.892
Hg 5.259 0.000 0.004
Hg 3.800 1.790 5.779
Hg 3.800 -1.790 5.779
Pb 8.484 0.000 2.888
```

Entry 10:
Here is Tb4NdY after structural relaxation from Alexandria via LeMat-Bulk. Energies are from PBE-GGA.

Values from the calculation:
- formation enthalpy at 0 K (eV per atom) = 0.254
- space group = No. 216
- E above lowest polymorph (eV/atom) = 0.2359

extended XYZ file:
```
6
Lattice="0.000 4.680 4.680 4.680 0.000 4.680 4.680 4.680 0.000" Properties=species:S:1:pos:R:3 pbc="T T T"
Tb 1.167 1.167 1.167
Tb 3.513 3.513 1.167
Tb 3.513 1.167 3.513
Tb 1.167 3.513 3.513
Nd 4.680 4.680 4.680
Y 7.020 7.020 7.020
```

Entry 11:
Here is GaSbPt4 after structural relaxation from Alexandria via LeMat-Bulk. Energies are from PBE-GGA.

Values from the calculation:
- formation energy from raw total energies (eV per atom) = -0.411
- space group = No. 47

extended XYZ file:
```
6
Lattice="4.002 0.000 0.000 0.000 4.016 0.000 0.000 0.000 6.866" Properties=species:S:1:pos:R:3 pbc="T T T"
Ga 0.000 0.000 0.000
Sb 2.001 2.008 3.433
Pt 0.000 2.008 1.602
Pt 0.000 2.008 5.264
Pt 2.001 0.000 1.605
Pt 2.001 0.000 5.261
```

Entry 12:
Here is Li2ZnTc after structural relaxation from Alexandria via LeMat-Bulk. Energies are from PBE-GGA.

Values from the calculation:
- formation enthalpy at 0 K (eV per atom) = 0.112
- space group = No. 10

extended XYZ file:
```
4
Lattice="2.521 0.000 0.000 0.000 4.647 0.000 -0.274 0.000 4.855" Properties=species:S:1:pos:R:3 pbc="T T T"
Li 0.432 0.000 1.128
Li 1.815 0.000 3.726
Zn -0.137 2.323 2.427
Tc 1.260 2.323 0.000
```

Entry 13:
Here is TaHg2BiIr after structural relaxation from Alexandria via LeMat-Bulk. Energies are from PBE-GGA.

Values from the calculation:
- formation enthalpy at 0 K (eV per atom) = 1.629
- space group = No. 123

extended XYZ file:
```
5
Lattice="5.306 0.000 0.000 0.000 5.306 0.000 0.000 0.000 5.387" Properties=species:S:1:pos:R:3 pbc="T T T"
Ta 0.000 0.000 0.000
Hg 0.000 2.653 0.000
Hg 2.653 0.000 0.000
Bi 0.000 0.000 2.693
Ir 2.653 2.653 2.693
```

Entry 14:
Here is NdEuHoGa after structural relaxation from Alexandria via LeMat-Bulk. Energies are from PBE-GGA.

Values from the calculation:
- formation enthalpy at 0 K (eV per atom) = -0.071
- space group = No. 216

extended XYZ file:
```
4
Lattice="0.000 3.837 3.837 3.837 0.000 3.837 3.837 3.837 0.000" Properties=species:S:1:pos:R:3 pbc="T T T"
Nd 0.000 0.000 0.000
Eu 5.755 5.755 5.755
Ho 3.837 3.837 3.837
Ga 1.918 1.918 1.918
```

Entry 15:
Here is UMnCoSn after structural relaxation from Alexandria via LeMat-Bulk. Energies are from PBE-GGA.

Values from the calculation:
- formation enthalpy at 0 K (eV per atom) = 0.016
- space group = No. 216

extended XYZ file:
```
4
Lattice="0.000 3.257 3.257 3.257 0.000 3.257 3.257 3.257 0.000" Properties=species:S:1:pos:R:3 pbc="T T T"
U 0.000 0.000 0.000
Mn 4.885 4.885 4.885
Co 1.628 1.628 1.628
Sn 3.257 3.257 3.257
```

no.,raw total energy (eV for the cell shown)
1,-31.8
2,-21.3
3,-52.5
4,-92.2
5,-11.5
6,-15.7
7,-9.6
8,-37.4
9,-10.5
10,-28.2
11,-33.8
12,-15.0
13,-17.1
14,-22.9
15,-31.5